! Li2YTaPt (SCAN, single point on PBEsol structure); values from VASP
! - energy of formation (meV per atom) = 1211
! - theoretical density (g/cm3) = 8.5
! - final energy (eV per atom) = -32.668
&SYSTEM
  ibrav = 0, nat = 5, ntyp = 4
/
ATOMIC_SPECIES
Li 6.94 Li.upf
Y 88.91 Y.upf
Ta 180.95 Ta.upf
Pt 195.08 Pt.upf
ATOMIC_POSITIONS crystal
Li 0.000 0.500 0.000
Li 0.500 0.000 0.000
Y 0.000 0.000 0.000
Ta 0.500 0.500 0.500
Pt 0.000 0.000 0.500
CELL_PARAMETERS angstrom
4.387 0.000 0.000
0.000 4.387 0.000
0.000 0.000 4.879

---

! CuRh3Br (SCAN, single point on PBEsol structure); values from VASP
! - formation energy (no corrections) (eV per atom) = 1.382
! - theoretical density (g/cm3) = 8.2
! - final energy (eV per atom) = -25.813
&SYSTEM
  ibrav = 0, nat = 5, ntyp = 3
/
ATOMIC_SPECIES
Cu 63.55 Cu.upf
Rh 102.91 Rh.upf
Br 79.90 Br.upf
ATOMIC_POSITIONS crystal
Cu 0.000 0.000 0.000
Rh 0.000 0.000 0.500
Rh 0.000 0.500 0.000
Rh 0.500 0.000 0.000
Br 0.500 0.500 0.500
CELL_PARAMETERS angstrom
4.501 0.000 0.000
0.000 4.501 0.000
0.000 0.000 4.501

---

! AgPt2Au (SCAN, single point on PBEsol structure); values from VASP
! - E above lowest polymorph (eV per formula unit) = 0.03
! - energy of formation (meV per atom) = 7
! - theoretical density (g/cm3) = 18.2
! - final energy (eV per atom) = -60.220
&SYSTEM
  ibrav = 0, nat = 4, ntyp = 3
/
ATOMIC_SPECIES
Ag 107.87 Ag.upf
Pt 195.08 Pt.upf
Au 196.97 Au.upf
ATOMIC_POSITIONS crystal
Ag 0.000 0.000 0.000
Pt 0.252 0.500 0.750
Pt 0.748 0.500 0.250
Au 0.500 0.000 0.500
CELL_PARAMETERS angstrom
2.747 0.000 0.000
0.000 4.812 0.000
-0.052 0.000 4.797

---

! LaSn3I (SCAN, single point on PBEsol structure); values from VASP
! - formation energy (no corrections) (eV per atom) = 0.521
! - theoretical density (g/cm3) = 5.7
! - final energy (eV per atom) = -37.001
&SYSTEM
  ibrav = 0, nat = 5, ntyp = 3
/
ATOMIC_SPECIES
La 138.91 La.upf
Sn 118.71 Sn.upf
I 126.90 I.upf
ATOMIC_POSITIONS crystal
La 0.000 0.000 0.000
Sn 0.000 0.500 0.500
Sn 0.500 0.000 0.500
Sn 0.500 0.500 0.000
I 0.500 0.500 0.500
CELL_PARAMETERS angstrom
5.660 0.000 0.000
0.000 5.660 0.000
0.000 0.000 5.660

---

! Na2YAgRh (SCAN, single point on PBEsol structure); values from VASP
! - energy of formation (meV per atom) = 922
! - theoretical density (g/cm3) = 3.4
! - final energy (eV per atom) = -19.361
&SYSTEM
  ibrav = 0, nat = 5, ntyp = 4
/
ATOMIC_SPECIES
Na 22.99 Na.upf
Y 88.91 Y.upf
Ag 107.87 Ag.upf
Rh 102.91 Rh.upf
ATOMIC_POSITIONS crystal
Na 0.000 0.500 0.000
Na 0.500 0.000 0.000
Y 0.000 0.000 0.000
Ag 0.500 0.500 0.500
Rh 0.000 0.000 0.500
CELL_PARAMETERS angstrom
6.036 0.000 0.000
0.000 6.036 0.000
0.000 0.000 4.671

---

! Zr2RhPb (SCAN, single point on PBEsol structure); values from VASP
! - energy of formation (meV per atom) = -566
! - theoretical density (g/cm3) = 9.9
! - final energy (eV per atom) = -43.303
&SYSTEM
  ibrav = 0, nat = 8, ntyp = 3
/
ATOMIC_SPECIES
Zr 91.22 Zr.upf
Rh 102.91 Rh.upf
Pb 207.20 Pb.upf
ATOMIC_POSITIONS crystal
Zr 0.000 0.000 0.000
Zr 0.000 0.500 0.500
Zr 0.500 0.000 0.305
Zr 0.500 0.500 0.805
Rh 0.500 0.000 0.545
Rh 0.500 0.500 0.045
Pb 0.000 0.000 0.723
Pb 0.000 0.500 0.223
CELL_PARAMETERS angstrom
4.174 0.000 0.000
0.000 3.686 0.000
0.000 0.000 10.756

---

! Sc2BTe (SCAN, single point on PBEsol structure); values from VASP
! - formation energy (no corrections) (eV per atom) = -0.434
! - theoretical density (g/cm3) = 4.9
! - final energy (eV per atom) = -18.723
&SYSTEM
  ibrav = 0, nat = 16, ntyp = 3
/
ATOMIC_SPECIES
Sc 44.96 Sc.upf
B 10.81 B.upf
Te 127.60 Te.upf
ATOMIC_POSITIONS crystal
Sc 0.180 0.750 0.125
Sc 0.250 0.180 0.875
Sc 0.250 0.320 0.375
Sc 0.320 0.750 0.625
Sc 0.680 0.250 0.625
Sc 0.750 0.680 0.375
Sc 0.750 0.820 0.875
Sc 0.820 0.250 0.125
B 0.000 0.000 0.000
B 0.000 0.500 0.250
B 0.500 0.000 0.750
B 0.500 0.500 0.500
Te 0.000 0.000 0.500
Te 0.000 0.500 0.750
Te 0.500 0.000 0.250
Te 0.500 0.500 0.000
CELL_PARAMETERS angstrom
6.994 0.000 0.000
0.000 6.994 0.000
0.000 0.000 6.350

---

! Li4Mn2Ni3Sb3O16 (SCAN, single point on PBEsol structure); values from VASP
! - formation energy (no corrections) (eV per atom) = -1.763
! - theoretical density (g/cm3) = 5.4
! - final energy (eV per atom) = -12.695
&SYSTEM
  ibrav = 0, nat = 28, ntyp = 5
/
ATOMIC_SPECIES
Li 6.94 Li.upf
Mn 54.94 Mn.upf
Ni 58.69 Ni.upf
Sb 121.76 Sb.upf
O 16.00 O.upf
ATOMIC_POSITIONS crystal
Li 0.000 0.000 0.000
Li 0.322 0.322 0.467
Li 0.557 0.557 0.558
Li 0.645 0.645 0.103
Mn 0.014 0.014 0.579
Mn 0.339 0.339 0.097
Ni 0.331 0.836 0.314
Ni 0.500 0.500 0.816
Ni 0.836 0.331 0.314
Sb 0.008 0.505 0.804
Sb 0.505 0.008 0.804
Sb 0.836 0.836 0.315
O 0.141 0.141 0.448
O 0.148 0.711 0.455
O 0.182 0.634 0.937
O 0.188 0.188 0.935
O 0.334 0.334 0.688
O 0.334 0.841 0.694
O 0.490 0.490 0.204
O 0.505 0.996 0.199
O 0.634 0.182 0.937
O 0.669 0.669 0.414
O 0.674 0.674 0.911
O 0.711 0.148 0.455
O 0.839 0.839 0.695
O 0.841 0.334 0.694
O 0.996 0.505 0.199
O 0.998 0.998 0.207
CELL_PARAMETERS angstrom
5.173 -3.001 0.000
5.173 3.001 0.000
-0.315 0.000 9.289

---

Which value of final energy does entry 6 give? -43.303 eV per atom